# Ac2Pm3, optimized geometry, DFT PBE-GGA
# Crystal system: trigonal
# D(E_F): 12.71 states/eV/f.u.
# Density: 7.35 g cm⁻³
# Offset from the most stable computed form: 0.331 eV/atom
# Space-group type: R-3c
# Formation energy from the elements: 0.42 eV/atom
data_Ac2Pm3
_chemical_formula_sum 'Ac4 Pm6'
_space_group_name_H-M_alt 'P 1'
_space_group_IT_number 1
_cell_length_a 7.3809
_cell_length_b 7.3809
_cell_length_c 7.3809
_cell_angle_alpha 88.13
_cell_angle_beta 88.13
_cell_angle_gamma 88.13
loop_
_space_group_symop_operation_xyz
'x,y,z'
loop_
_atom_site_label
_atom_site_type_symbol
_atom_site_fract_x
_atom_site_fract_y
_atom_site_fract_z
Ac1 Ac 0.1249 0.1249 0.1249
Ac2 Ac 0.3751 0.3751 0.3751
Ac3 Ac 0.6249 0.6249 0.6249
Ac4 Ac 0.8751 0.8751 0.8751
Pm1 Pm 0.0833 0.4167 0.7500
Pm2 Pm 0.2500 0.9167 0.5833
Pm3 Pm 0.4167 0.7500 0.0833
Pm4 Pm 0.5833 0.2500 0.9167
Pm5 Pm 0.7500 0.0833 0.4167
Pm6 Pm 0.9167 0.5833 0.2500

# Ac2Pm7, optimized geometry, DFT PBE-GGA
# Crystal system: trigonal
# D(E_F): 13.40 states/eV/f.u.
# Density: 7.40 g cm⁻³
# Space-group type: P-31m
# Formation energy from the elements: 0.03 eV/atom
data_Ac2Pm7
_chemical_formula_sum 'Ac2 Pm7'
_space_group_name_H-M_alt 'P 1'
_space_group_IT_number 1
_cell_length_a 6.4769
_cell_length_b 6.4769
_cell_length_c 9.0692
_cell_angle_alpha 90.00
_cell_angle_beta 90.00
_cell_angle_gamma 120.00
loop_
_space_group_symop_operation_xyz
'x,y,z'
loop_
_atom_site_label
_atom_site_type_symbol
_atom_site_fract_x
_atom_site_fract_y
_atom_site_fract_z
Ac1 Ac 0.3333 0.6667 0.0000
Ac2 Ac 0.6667 0.3333 0.0000
Pm1 Pm 0.0000 0.0000 0.0000
Pm2 Pm 0.0000 0.3303 0.6613
Pm3 Pm 0.0000 0.6697 0.3387
Pm4 Pm 0.3303 0.0000 0.6613
Pm5 Pm 0.3303 0.3303 0.3387
Pm6 Pm 0.6697 0.0000 0.3387
Pm7 Pm 0.6697 0.6697 0.6613

# Ac5Pm7, optimized geometry, DFT PBE-GGA
# Crystal system: monoclinic
# D(E_F): 17.66 states/eV/f.u.
# Density: 7.71 g cm⁻³
# Space-group type: C2/m
# Formation energy from the elements: 0.03 eV/atom
data_Ac5Pm7
_chemical_formula_sum 'Ac5 Pm7'
_space_group_name_H-M_alt 'P 1'
_space_group_IT_number 1
_cell_length_a 10.0472
_cell_length_b 10.0472
_cell_length_c 13.9447
_cell_angle_alpha 117.84
_cell_angle_beta 117.84
_cell_angle_gamma 21.96
loop_
_space_group_symop_operation_xyz
'x,y,z'
loop_
_atom_site_label
_atom_site_type_symbol
_atom_site_fract_x
_atom_site_fract_y
_atom_site_fract_z
Ac1 Ac 0.0000 0.0000 0.0000
Ac2 Ac 0.1628 0.1628 0.4937
Ac3 Ac 0.3053 0.3053 0.2465
Ac4 Ac 0.6947 0.6947 0.7535
Ac5 Ac 0.8372 0.8372 0.5063
Pm1 Pm 0.0272 0.0272 0.7514
Pm2 Pm 0.3348 0.3348 0.0046
Pm3 Pm 0.3628 0.3628 0.7531
Pm4 Pm 0.5000 0.5000 0.5000
Pm5 Pm 0.6372 0.6372 0.2469
Pm6 Pm 0.6652 0.6652 0.9954
Pm7 Pm 0.9728 0.9728 0.2486

# Ac5Pm6, optimized geometry, DFT PBE-GGA
# Crystal system: monoclinic
# D(E_F): 14.85 states/eV/f.u.
# Density: 7.39 g cm⁻³
# Space-group type: C2/m
# Formation energy from the elements: 0.17 eV/atom
data_Ac5Pm6
_chemical_formula_sum 'Ac5 Pm6'
_space_group_name_H-M_alt 'P 1'
_space_group_IT_number 1
_cell_length_a 8.3437
_cell_length_b 8.3437
_cell_length_c 6.5856
_cell_angle_alpha 96.80
_cell_angle_beta 96.80
_cell_angle_gamma 84.30
loop_
_space_group_symop_operation_xyz
'x,y,z'
loop_
_atom_site_label
_atom_site_type_symbol
_atom_site_fract_x
_atom_site_fract_y
_atom_site_fract_z
Ac1 Ac 0.0000 0.0000 0.0000
Ac2 Ac 0.1724 0.8276 0.5000
Ac3 Ac 0.3368 0.6632 0.0000
Ac4 Ac 0.6632 0.3368 0.0000
Ac5 Ac 0.8276 0.1724 0.5000
Pm1 Pm 0.0793 0.4122 0.2378
Pm2 Pm 0.2489 0.2489 0.7395
Pm3 Pm 0.4122 0.0793 0.2378
Pm4 Pm 0.5878 0.9207 0.7622
Pm5 Pm 0.7511 0.7511 0.2605
Pm6 Pm 0.9207 0.5878 0.7622

# Ac4Pm5, optimized geometry, DFT PBE-GGA
# Crystal system: hexagonal
# D(E_F): 13.98 states/eV/f.u.
# Density: 7.76 g cm⁻³
# Offset from the most stable computed form: 0.053 eV/atom
# Space-group type: P6_3/mcm
# Formation energy from the elements: 0.09 eV/atom
data_Ac4Pm5
_chemical_formula_sum 'Ac8 Pm10'
_space_group_name_H-M_alt 'P 1'
_space_group_IT_number 1
_cell_length_a 10.4616
_cell_length_b 10.4616
_cell_length_c 7.3699
_cell_angle_alpha 90.00
_cell_angle_beta 90.00
_cell_angle_gamma 120.00
loop_
_space_group_symop_operation_xyz
'x,y,z'
loop_
_atom_site_label
_atom_site_type_symbol
_atom_site_fract_x
_atom_site_fract_y
_atom_site_fract_z
Ac1 Ac 0.0000 0.0000 0.0000
Ac2 Ac 0.0000 0.0000 0.5000
Ac3 Ac 0.0000 0.3454 0.2500
Ac4 Ac 0.0000 0.6546 0.7500
Ac5 Ac 0.3454 0.0000 0.2500
Ac6 Ac 0.3454 0.3454 0.7500
Ac7 Ac 0.6546 0.0000 0.7500
Ac8 Ac 0.6546 0.6546 0.2500
Pm1 Pm 0.0000 0.3271 0.7500
Pm2 Pm 0.0000 0.6729 0.2500
Pm3 Pm 0.3271 0.0000 0.7500
Pm4 Pm 0.3271 0.3271 0.2500
Pm5 Pm 0.3333 0.6667 0.0000
Pm6 Pm 0.3333 0.6667 0.5000
Pm7 Pm 0.6667 0.3333 0.0000
Pm8 Pm 0.6667 0.3333 0.5000
Pm9 Pm 0.6729 0.0000 0.2500
Pm10 Pm 0.6729 0.6729 0.7500

# Ac5Pm4, optimized geometry, DFT PBE-GGA
# Crystal system: tetragonal
# D(E_F): 17.04 states/eV/f.u.
# Density: 7.87 g cm⁻³
# Space-group type: I4/mmm
# Formation energy from the elements: 0.04 eV/atom
data_Ac5Pm4
_chemical_formula_sum 'Ac5 Pm4'
_space_group_name_H-M_alt 'P 1'
_space_group_IT_number 1
_cell_length_a 8.5888
_cell_length_b 8.5888
_cell_length_c 8.5888
_cell_angle_alpha 95.78
_cell_angle_beta 95.78
_cell_angle_gamma 142.98
loop_
_space_group_symop_operation_xyz
'x,y,z'
loop_
_atom_site_label
_atom_site_type_symbol
_atom_site_fract_x
_atom_site_fract_y
_atom_site_fract_z
Ac1 Ac 0.0000 0.0000 0.0000
Ac2 Ac 0.3314 0.3314 0.6629
Ac3 Ac 0.3314 0.6686 0.0000
Ac4 Ac 0.6686 0.3314 0.0000
Ac5 Ac 0.6686 0.6686 0.3371
Pm1 Pm 0.0000 0.3417 0.3417
Pm2 Pm 0.0000 0.6583 0.6583
Pm3 Pm 0.3417 0.0000 0.3417
Pm4 Pm 0.6583 0.0000 0.6583

# Ac2Pm, optimized geometry, DFT PBE-GGA
# Crystal system: cubic
# D(E_F): 4.71 states/eV/f.u.
# Density: 7.63 g cm⁻³
# Offset from the most stable computed form: 0.305 eV/atom
# Space-group type: Fd-3m
# Formation energy from the elements: 0.34 eV/atom
data_Ac2Pm
_chemical_formula_sum 'Ac4 Pm2'
_space_group_name_H-M_alt 'P 1'
_space_group_IT_number 1
_cell_length_a 7.1719
_cell_length_b 7.1719
_cell_length_c 7.1719
_cell_angle_alpha 60.00
_cell_angle_beta 60.00
_cell_angle_gamma 60.00
loop_
_space_group_symop_operation_xyz
'x,y,z'
loop_
_atom_site_label
_atom_site_type_symbol
_atom_site_fract_x
_atom_site_fract_y
_atom_site_fract_z
Ac1 Ac 0.0000 0.0000 0.0000
Ac2 Ac 0.0000 0.0000 0.5000
Ac3 Ac 0.0000 0.5000 0.0000
Ac4 Ac 0.5000 0.0000 0.0000
Pm1 Pm 0.3750 0.3750 0.3750
Pm2 Pm 0.6250 0.6250 0.6250

# Ac3Pm13, optimized geometry, DFT PBE-GGA
# Crystal system: orthorhombic
# D(E_F): 25.52 states/eV/f.u.
# Density: 7.36 g cm⁻³
# Offset from the most stable computed form: 0.000 eV/atom
# Space-group type: Amm2
# Formation energy from the elements: 0.03 eV/atom
data_Ac3Pm13
_chemical_formula_sum 'Ac3 Pm13'
_space_group_name_H-M_alt 'P 1'
_space_group_IT_number 1
_cell_length_a 10.5021
_cell_length_b 7.4234
_cell_length_c 7.4234
_cell_angle_alpha 89.70
_cell_angle_beta 90.00
_cell_angle_gamma 90.00
loop_
_space_group_symop_operation_xyz
'x,y,z'
loop_
_atom_site_label
_atom_site_type_symbol
_atom_site_fract_x
_atom_site_fract_y
_atom_site_fract_z
Ac1 Ac 0.0000 0.0000 0.0000
Ac2 Ac 0.2541 0.2582 0.2582
Ac3 Ac 0.7459 0.2582 0.2582
Pm1 Pm 0.0000 0.0023 0.5067
Pm2 Pm 0.0000 0.5067 0.0023
Pm3 Pm 0.0000 0.5101 0.5101
Pm4 Pm 0.2522 0.7531 0.7531
Pm5 Pm 0.2529 0.2574 0.7545
Pm6 Pm 0.2529 0.7545 0.2574
Pm7 Pm 0.5000 0.0000 0.5124
Pm8 Pm 0.5000 0.0014 0.0014
Pm9 Pm 0.5000 0.5124 0.0000
Pm10 Pm 0.5000 0.5119 0.5119
Pm11 Pm 0.7471 0.2574 0.7545
Pm12 Pm 0.7471 0.7545 0.2574
Pm13 Pm 0.7478 0.7531 0.7531